Al2Hg | GGA-PBE | relaxed

Values from the calculation:
Energy above the most stable polymorph in this dataset, eV per atom: 0.026
Size of the total moment, Bohr magnetons per cell: 0.0
D(E_F), states/eV/cell: 2.308

Cell: 2.988 18.868 4.305 Å, 90.00 90.00 90.00°
Space group Cmcm (No. 63)
Inequivalent atoms, fractional coordinates:
Al 0.000 0.046 0.250 (multiplicity 4)
Al 0.000 0.406 0.250 (multiplicity 4)
Hg 0.000 0.299 0.750 (multiplicity 4)



P2RuSeN | GGA-PBE | relaxed

Values from the calculation:
Energy above the most stable polymorph in this dataset, eV per atom: 0.071
Size of the total moment, Bohr magnetons per cell: 0.0
ΔE_f (raw), kJ/mol of formula units: 2.7
D(E_F), states/eV/cell: 1.502

Cell: 4.055 4.529 5.003 Å, 67.66 76.22 76.39°
Space group P1 (No. 1)
Inequivalent atoms, fractional coordinates:
P 0.000 0.000 0.000 (multiplicity 1)
P 0.270 0.407 0.845 (multiplicity 1)
Ru 0.450 0.028 0.251 (multiplicity 1)
Se 0.611 0.422 0.403 (multiplicity 1)
N 0.150 0.804 0.757 (multiplicity 1)



Hf2CrSn | GGA-PBE | relaxed

Values from the calculation:
Size of the total moment, Bohr magnetons per cell: 11.7
D(E_F), states/eV/cell: 17.041

Cell: 7.629 7.629 5.853 Å, 90.00 90.00 90.00°
Space group I-42d (No. 122)
Inequivalent atoms, fractional coordinates:
Hf 0.225 0.250 0.125 (multiplicity 8)
Cr 0.000 0.000 0.000 (multiplicity 4)
Sn 0.000 0.000 0.500 (multiplicity 4)



BaRhW2 | GGA-PBE | relaxed

Values from the calculation:
Energy above the most stable polymorph in this dataset, eV per atom: 0.835
Size of the total moment, Bohr magnetons per cell: 0.0
D(E_F), states/eV/cell: 16.628

Cell: 6.675 6.675 6.675 Å, 90.00 90.00 90.00°
Space group Fm-3m (No. 225)
Inequivalent atoms, fractional coordinates:
Ba 0.000 0.000 0.000 (multiplicity 4)
Rh 0.000 0.000 0.500 (multiplicity 4)
W 0.250 0.250 0.250 (multiplicity 8)



B2RuW2 | GGA-PBE | relaxed

Values from the calculation:
Size of the total moment, Bohr magnetons per cell: 0.0
D(E_F), states/eV/cell: 6.843

Cell: 5.895 5.895 6.495 Å, 90.00 90.00 90.00°
Space group P4/mnc (No. 128)
Inequivalent atoms, fractional coordinates:
B 0.113 0.387 0.250 (multiplicity 8)
Ru 0.000 0.000 0.211 (multiplicity 4)
W 0.156 0.692 0.500 (multiplicity 8)



Ho4SnSb2Se | GGA-PBE | relaxed

Values from the calculation:
Size of the total moment, Bohr magnetons per cell: 0.0
ΔE_f (raw), kJ/mol of formula units: -892.0
D(E_F), states/eV/cell: 1.587

Cell: 7.461 4.286 7.472 Å, 90.00 109.29 90.00°
Space group P2/m (No. 10)
Inequivalent atoms, fractional coordinates:
Ho 0.245 0.000 0.248 (multiplicity 2)
Ho 0.246 0.500 0.752 (multiplicity 2)
Sn 0.000 0.000 0.500 (multiplicity 1)
Sb 0.500 0.000 0.000 (multiplicity 1)
Sb 0.500 0.500 0.500 (multiplicity 1)
Se 0.000 0.500 0.000 (multiplicity 1)



Sm10YSc4 | GGA-PBE | relaxed

Values from the calculation:
Size of the total moment, Bohr magnetons per cell: 0.0
D(E_F), states/eV/cell: 32.984

Cell: 11.129 11.129 8.241 Å, 90.00 90.00 90.00°
Space group I4/m (No. 87)
Inequivalent atoms, fractional coordinates:
Sm 0.000 0.500 0.250 (multiplicity 4)
Sm 0.115 0.228 0.194 (multiplicity 16)
Y 0.000 0.000 0.000 (multiplicity 2)
Sc 0.065 0.787 0.500 (multiplicity 8)



NaI2Br4 | GGA-PBE | relaxed

Values from the calculation:
Size of the total moment, Bohr magnetons per cell: 0.0
ΔE_f (raw), kJ/mol of formula units: -270.9
D(E_F), states/eV/cell: 18.270

Cell: 8.908 9.232 9.314 Å, 76.94 61.52 61.18°
Space group P1 (No. 1)
Inequivalent atoms, fractional coordinates:
Na 0.000 0.000 0.000 (multiplicity 1)
Na 0.249 0.500 0.500 (multiplicity 1)
I 0.129 0.248 0.250 (multiplicity 1)
I 0.627 0.252 0.750 (multiplicity 1)
I 0.627 0.752 0.750 (multiplicity 1)
I 0.630 0.748 0.250 (multiplicity 1)
Br 0.326 0.251 0.749 (multiplicity 1)
Br 0.327 0.749 0.251 (multiplicity 1)
Br 0.327 0.750 0.749 (multiplicity 1)
Br 0.433 0.246 0.250 (multiplicity 1)
Br 0.826 0.250 0.251 (multiplicity 1)
Br 0.928 0.253 0.751 (multiplicity 1)
Br 0.929 0.754 0.750 (multiplicity 1)
Br 0.933 0.747 0.248 (multiplicity 1)



Y3CuBr3 | GGA-PBE | relaxed

Values from the calculation:
Size of the total moment, Bohr magnetons per cell: 0.0
ΔE_f (raw), kJ/mol of formula units: -737.5
D(E_F), states/eV/cell: 38.796

Cell: 6.8128 6.8128 32.7769 Å, 90.00 90.00 120.00°
Space group R-3 (No. 148, hexagonal axes)
Inequivalent atoms, fractional coordinates:
Y 0.0000 0.3358 0.0496 (multiplicity 18)
Cu 0.0000 0.0000 0.3333 (multiplicity 6)
Br 0.0000 0.3292 0.8928 (multiplicity 18)



Mg12Tl6Ag | GGA-PBE | relaxed

Values from the calculation:
Energy above the most stable polymorph in this dataset, eV per atom: 0.037
Size of the total moment, Bohr magnetons per cell: 0.0
D(E_F), states/eV/cell: 22.374

Cell: 13.1167 13.1167 9.3934 Å, 90.00 90.00 120.00°
Space group R-3 (No. 148, hexagonal axes)
Inequivalent atoms, fractional coordinates:
Mg 0.0422 0.2335 0.0752 (multiplicity 18)
Mg 0.0602 0.2415 0.4262 (multiplicity 18)
Tl 0.0452 0.2019 0.7463 (multiplicity 18)
Ag 0.0000 0.0000 0.0000 (multiplicity 3)



MnTe2Au | GGA-PBE | relaxed

Values from the calculation:
Energy above the most stable polymorph in this dataset, eV per atom: 0.078
Size of the total moment, Bohr magnetons per cell: 8.4
ΔE_f (raw), kJ/mol of formula units: -4.5
D(E_F), states/eV/cell: 5.327

Cell: 8.400 3.592 14.761 Å, 90.00 90.00 90.00°
Space group Pnma (No. 62)
Inequivalent atoms, fractional coordinates:
Mn 0.038 0.250 0.067 (multiplicity 4)
Te 0.181 0.250 0.913 (multiplicity 4)
Te 0.214 0.750 0.154 (multiplicity 4)
Au 0.001 0.250 0.580 (multiplicity 4)



Co3GeP | GGA-PBE | relaxed

Values from the calculation:
Energy above the most stable polymorph in this dataset, eV per atom: 0.752
Size of the total moment, Bohr magnetons per cell: 3.3
D(E_F), states/eV/cell: 4.973

Cell: 4.313 4.313 4.313 Å, 90.00 90.00 90.00°
Space group Pm-3m (No. 221)
Inequivalent atoms, fractional coordinates:
Co 0.000 0.000 0.500 (multiplicity 3)
Ge 0.000 0.000 0.000 (multiplicity 1)
P 0.500 0.500 0.500 (multiplicity 1)



no.,energy (eV per atom)
1,-2.462
2,-6.375
3,-7.923
4,-7.374
5,-10.017
6,-5.411
7,-4.715
8,-1.988
9,-5.164
10,-1.893
11,-4.694
12,-5.250